# Mo4P2CN, relaxed, DFT PBE
# * E_tot: -73.1 eV/cell
data_Mo4P2CN
_chemical_formula_sum 'Mo4 P2 C1 N1'
_space_group_name_H-M_alt 'P -3 m 1'
_space_group_IT_number 164
_space_group_name_Hall '-P 3 2"'
_cell_length_a 3.0612
_cell_length_b 3.0612
_cell_length_c 12.2138
_cell_angle_alpha 90.00
_cell_angle_beta 90.00
_cell_angle_gamma 120.00
loop_
_atom_site_label
_atom_site_type_symbol
_atom_site_fract_x
_atom_site_fract_y
_atom_site_fract_z
Mo1 Mo 0.3333 0.6667 0.1031
Mo2 Mo 0.3333 0.6667 0.3909
P1 P 0.3333 0.6667 0.7496
C1 C 0.0000 0.0000 0.0000
N1 N 0.0000 0.0000 0.5000